[1]
A plane-wave DFT calculation with PBE-GGA was carried out for crystalline SmDy2Tl at its relaxed geometry.

Cell and atoms, written as POSCAR:
```
SmDy2Tl
1.0
2.3516 -10.9612 0.0000
2.3516 10.9612 0.0000
0.0000 0.0000 4.8203
Sm Dy Tl
2 4 2
direct
0.1935 0.8065 0.7500
0.8065 0.1935 0.2500
0.0577 0.9423 0.2500
0.4349 0.5651 0.2500
0.5651 0.4349 0.7500
0.9423 0.0577 0.7500
0.3364 0.6636 0.7500
0.6636 0.3364 0.2500
```

Properties
Symmetry   No. 63
Density of states at the Fermi level   7.98 states/eV/cell
Energy relative to the elements   -0.150 eV per atom
VASP energy   -33.78 eV/cell
ΔE to the lowest computed polymorph   34 meV per atom


[2]
A plane-wave DFT calculation with PBE-GGA was carried out for crystalline Ho4PPb2 at its relaxed geometry.

Cell and atoms, written as POSCAR:
```
Ho4PPb2
1.0
-2.5525 2.5525 8.0550
2.5525 -2.5525 8.0550
2.5525 2.5525 -8.0550
Ho P Pb
4 1 2
direct
0.0000 0.5000 0.5000
0.1679 0.1679 0.0000
0.5000 0.0000 0.5000
0.8321 0.8321 0.0000
0.0000 0.0000 0.0000
0.3624 0.3624 0.0000
0.6376 0.6376 0.0000
```

Properties
Symmetry   No. 139
Density of states at the Fermi level   4.29 states/eV/cell
Energy relative to the elements   -0.648 eV per atom
VASP energy   -35.68 eV/cell
ΔE to the lowest computed polymorph   0 meV per atom


[3]
A plane-wave DFT calculation with PBE-GGA was carried out for crystalline In2AuBr at its relaxed geometry.

Cell and atoms, written as POSCAR:
```
In2AuBr
1.0
2.0448 1.1806 7.7566
-2.0448 1.1806 7.7566
0.0000 -2.3612 7.7566
In Au Br
2 1 1
direct
0.0000 0.0000 0.0000
0.1955 0.1955 0.1955
0.5979 0.5979 0.5979
0.4239 0.4239 0.4239
```

Properties
Symmetry   No. 160
Density of states at the Fermi level   2.26 states/eV/cell
E_form (uncorrected)   -0.30 eV per atom
VASP energy   -11.65 eV/cell
ΔE to the lowest computed polymorph   39 meV per atom


- Number 1 is which compound?
  SmDy2Tl